# 1
Compound: Pr6CN2Cl3
Source: Alexandria via LeMat-Bulk
Functional: PBE
Structure: optimized geometry

E_form (uncorrected) ... -1.3600 eV/atom
Density of states at the Fermi level ... 0.22 states/eV/atom
M_tot ... 0.0 μB per formula unit
Volume ... 21.82 Å³ per atom

Unit cell a=9.1861 b=9.1861 c=8.3663 alpha=111.35 beta=111.35 gamma=23.55
Closest atoms and distances in Å follow each position.
Positions (direct):
Pr (0.0147, 0.0147, 0.2199)  1 N 2.56, 2 C 2.57
Pr (0.3194, 0.3194, 0.4512)  3 N 2.53-2.54
Pr (0.3461, 0.3461, 0.8816)  2 N 2.55, 1 C 2.57
Pr (0.6539, 0.6539, 0.1184)  2 N 2.55, 1 C 2.57
Pr (0.6806, 0.6806, 0.5488)  3 N 2.53-2.54
Pr (0.9853, 0.9853, 0.7801)  1 N 2.56, 2 C 2.57
C (0.5000, 0.5000, 0.0000)  6 Pr 2.57
N (0.1680, 0.1680, 0.3352)  6 Pr 2.53-2.56
N (0.8320, 0.8320, 0.6648)  6 Pr 2.53-2.56
Cl (0.1651, 0.1651, 0.8328)  6 Pr 3.10-3.13
Cl (0.5000, 0.5000, 0.5000)  6 Pr 3.09-3.12
Cl (0.8349, 0.8349, 0.1672)  6 Pr 3.10-3.13

---

# 2
Compound: AlTlF3
Source: Alexandria via LeMat-Bulk
Functional: PBE
Structure: optimized geometry

E_form (uncorrected) ... -1.3608 eV/atom
Density of states at the Fermi level ... 0.20 states/eV/atom
M_tot ... 0.0 μB per formula unit
Volume ... 20.54 Å³ per atom

Unit cell a=4.6833 b=4.6833 c=4.6833 alpha=90.00 beta=90.00 gamma=90.00
Closest atoms and distances in Å follow each position.
Positions (direct):
Al (0.0000, 0.0000, 0.0000)  12 F 3.31
Tl (0.5000, 0.5000, 0.5000)  6 F 2.34
F (0.0000, 0.5000, 0.5000)  2 Tl 2.34
F (0.5000, 0.0000, 0.5000)  2 Tl 2.34
F (0.5000, 0.5000, 0.0000)  2 Tl 2.34

---

# 3
Compound: VFeB
Source: Alexandria via LeMat-Bulk
Functional: PBE
Structure: optimized geometry

Density of states at the Fermi level ... 0.67 states/eV/atom
Offset from the most stable computed form ... 0 meV per atom
M_tot ... 0.5 μB per formula unit
Volume ... 9.47 Å³ per atom
DFT formation energy ... -0.5664 eV per atom

Unit cell a=9.9486 b=2.9546 c=5.8015 alpha=90.00 beta=90.00 gamma=90.00
Closest atoms and distances in Å follow each position.
Positions (direct):
V (0.0447, 0.0000, 0.2295)  5 B 2.23-2.41
V (0.2500, 0.0000, 0.8540)  5 B 2.26-2.35, 6 Fe 2.49-2.53
V (0.4553, 0.0000, 0.2295)  5 B 2.23-2.41
V (0.5447, 0.0000, 0.7705)  5 B 2.23-2.41
V (0.7500, 0.0000, 0.1460)  5 B 2.26-2.35, 6 Fe 2.49-2.53
V (0.9553, 0.0000, 0.7705)  5 B 2.23-2.41
Fe (0.1231, 0.5000, 0.5742)  3 B 2.08-2.20
Fe (0.2500, 0.5000, 0.1989)  4 B 2.07-2.18
Fe (0.3769, 0.5000, 0.5742)  3 B 2.08-2.20
Fe (0.6231, 0.5000, 0.4258)  3 B 2.08-2.20
Fe (0.7500, 0.5000, 0.8011)  4 B 2.07-2.18
Fe (0.8769, 0.5000, 0.4258)  3 B 2.08-2.20
B (0.0869, 0.5000, 0.9487)  1 B 1.83
B (0.2500, 0.0000, 0.4486)  6 Fe 2.07-2.08
B (0.4131, 0.5000, 0.9487)  1 B 1.83
B (0.5869, 0.5000, 0.0513)  1 B 1.83
B (0.7500, 0.0000, 0.5514)  6 Fe 2.07-2.08
B (0.9131, 0.5000, 0.0513)  1 B 1.83